1.
## YZrTcIr (PBE)

Data for crystalline YZrTcIr at its relaxed geometry.

The structure in extended XYZ format:
```
4
Lattice="0.000 3.355 3.355 3.355 0.000 3.355 3.355 3.355 0.000" Properties=species:S:1:pos:R:3 pbc="T T T"
Y 0.000 0.000 0.000
Zr 3.355 3.355 3.355
Tc 5.032 5.032 5.032
Ir 1.677 1.677 1.677
```

=====

2.
## ZnTc2Ir (PBE)

Data for crystalline ZnTc2Ir at its relaxed geometry.

The structure in extended XYZ format:
```
4
Lattice="3.698 0.000 0.000 0.000 3.698 0.000 0.000 0.000 4.226" Properties=species:S:1:pos:R:3 pbc="T T T"
Zn 0.000 0.000 0.000
Tc 0.000 1.849 2.113
Tc 1.849 0.000 2.113
Ir 1.849 1.849 0.000
```

=====

no.,final energy (eV for the cell shown),size of the total moment (Bohr magnetons per cell),D(E_F) (states/eV/atom)
1,-36.2,0.00,0.723
2,-30.3,0.00,1.181